(1)
! Mn3TePb, relaxed, DFT PBE-GGA; values from VASP
! energy above the lowest structure with this stoichiometry: 0 meV/atom
! SG: Pm-3m, No. 221
! magnetization: 2.102 μB per atom
! DFT total energy: -30.10 eV for the cell shown
! ΔE_f (raw): 0.851 eV per atom
&SYSTEM
  ibrav = 0, nat = 5, ntyp = 3
/
ATOMIC_SPECIES
Mn 54.94 Mn.upf
Pb 207.20 Pb.upf
Te 127.60 Te.upf
CELL_PARAMETERS angstrom
-4.7708 -1.1582 -0.7804
0.8747 -0.3126 -4.8834
1.0888 -4.8241 0.5038
ATOMIC_POSITIONS angstrom
Mn -2.3854 -0.5791 -0.3902
Mn 0.5444 -2.4120 0.2519
Pb -1.4036 -3.1474 -2.5800
Mn 0.4374 -0.1563 -2.4417
Te 0.0000 0.0000 0.0000

(2)
! Cs2BH6, relaxed, DFT PBE-GGA; values from VASP
! SG: C2/m, No. 12
! magnetization: 0.107 μB per atom
! DFT total energy: -27.40 eV for the cell shown
&SYSTEM
  ibrav = 0, nat = 9, ntyp = 3
/
ATOMIC_SPECIES
H 1.01 H.upf
Cs 132.91 Cs.upf
B 10.81 B.upf
CELL_PARAMETERS angstrom
-3.9987 2.3924 2.1576
-3.3027 -4.2238 -1.4153
-0.6840 -4.2624 3.4807
ATOMIC_POSITIONS angstrom
H -4.1289 -7.1091 2.1523
Cs -2.4214 -2.1740 1.2780
H -5.9846 -1.7040 1.1580
H -2.0008 -4.3897 3.0650
H -3.6888 -4.3648 -0.0909
Cs -5.5640 -3.9198 2.9451
B 0.0000 0.0000 0.0000
H -4.2966 -1.7289 4.3139
H -3.8565 1.0153 2.0707

(3)
! LaPm2Pt9, relaxed, DFT PBE-GGA; values from VASP
! SG: R-3m, No. 166
! magnetization: 0.000 μB per atom
! DFT total energy: -80.26 eV for the cell shown
&SYSTEM
  ibrav = 0, nat = 12, ntyp = 3
/
ATOMIC_SPECIES
Pt 195.08 Pt.upf
La 138.91 La.upf
Pm 145.00 Pm.upf
CELL_PARAMETERS angstrom
0.8965 -4.9054 -2.2696
3.7737 -0.5499 -3.9337
7.7504 -3.5473 4.1156
ATOMIC_POSITIONS angstrom
Pt 5.8161 -3.4366 -3.5010
Pt 8.0600 -3.3629 0.5714
Pt 3.9071 -3.1584 -1.5111
Pt 10.8540 -7.1815 -0.0298
La 0.0000 0.0000 0.0000
Pt 4.3606 -5.6398 -2.6592
Pt 6.2103 -4.5013 -1.0439
Pt 6.6045 -5.5661 1.4132
Pt 8.5135 -5.8443 -0.5767
Pm 5.1530 -2.8223 1.5225
Pm 7.2676 -6.1804 -3.6102
Pt 1.5666 -1.8212 -2.0580

(4)
! Pd3PtRh2, relaxed, DFT PBE-GGA; values from VASP
! SG: P2_1/m, No. 11
! magnetization: 0.001 μB per atom
! DFT total energy: -71.01 eV for the cell shown
&SYSTEM
  ibrav = 0, nat = 12, ntyp = 3
/
ATOMIC_SPECIES
Pd 106.42 Pd.upf
Rh 102.91 Rh.upf
Pt 195.08 Pt.upf
CELL_PARAMETERS angstrom
2.7086 0.0000 0.0000
0.0000 7.3342 -1.7561
0.0000 -2.4006 9.9230
ATOMIC_POSITIONS angstrom
Pd 0.6772 2.0712 0.6354
Rh 0.6772 0.5292 8.0506
Rh 0.6772 -1.3739 6.1132
Pd 0.6772 5.1653 6.8682
Rh 2.0315 4.4044 0.1164
Rh 2.0315 6.3075 2.0537
Pd 2.0315 -0.2317 1.2988
Pd 2.0315 3.5463 4.8667
Pt 2.0315 0.9328 5.6920
Pt 0.6772 4.0008 2.4749
Pd 2.0315 2.8624 7.5315
Pd 0.6772 1.3873 3.3003